# 1
# MnRh2 GGA-PBE relaxed
data_MnRh2
_chemical_formula_sum 'Mn1 Rh2'
_symmetry_space_group_name_H-M 'P 1'
_symmetry_Int_Tables_number 1
_symmetry_space_group_name_Hall 'P 1'
_cell_length_a 2.688
_cell_length_b 2.688
_cell_length_c 6.458
_cell_angle_alpha 90.00
_cell_angle_beta 90.00
_cell_angle_gamma 120.00
loop_
_atom_site_label
_atom_site_type_symbol
_atom_site_fract_x
_atom_site_fract_y
_atom_site_fract_z
Mn1 Mn 0.000 0.000 0.000
Rh1 Rh 0.333 0.667 0.318
Rh2 Rh 0.667 0.333 0.682
# calculated density = 10.72 g cm⁻³
# space group = P-3m1, No. 164
# formation energy from the elements = -3 kJ/mol of atoms
# DOS(E_F) = 3.6 states/eV per cell

# 2
# MnRh GGA-PBE relaxed
data_MnRh
_chemical_formula_sum 'Mn8 Rh8'
_symmetry_space_group_name_H-M 'P 1'
_symmetry_Int_Tables_number 1
_symmetry_space_group_name_Hall 'P 1'
_cell_length_a 9.442
_cell_length_b 4.286
_cell_length_c 5.339
_cell_angle_alpha 90.00
_cell_angle_beta 90.00
_cell_angle_gamma 90.00
loop_
_atom_site_label
_atom_site_type_symbol
_atom_site_fract_x
_atom_site_fract_y
_atom_site_fract_z
Mn1 Mn 0.083 0.250 0.241
Mn2 Mn 0.169 0.750 0.497
Mn3 Mn 0.331 0.250 0.997
Mn4 Mn 0.417 0.750 0.741
Mn5 Mn 0.583 0.250 0.259
Mn6 Mn 0.669 0.750 0.003
Mn7 Mn 0.831 0.250 0.503
Mn8 Mn 0.917 0.750 0.759
Rh1 Rh 0.079 0.250 0.737
Rh2 Rh 0.168 0.750 0.993
Rh3 Rh 0.332 0.250 0.493
Rh4 Rh 0.421 0.750 0.237
Rh5 Rh 0.579 0.250 0.763
Rh6 Rh 0.668 0.750 0.507
Rh7 Rh 0.832 0.250 0.007
Rh8 Rh 0.921 0.750 0.263
# calculated density = 9.71 g cm⁻³
# space group = Pnma, No. 62
# formation energy from the elements = -20 kJ/mol of atoms
# DOS(E_F) = 18.0 states/eV per cell

# 3
# Mn5Rh3 GGA-PBE relaxed
data_Mn5Rh3
_chemical_formula_sum 'Mn10 Rh6'
_symmetry_space_group_name_H-M 'P 1'
_symmetry_Int_Tables_number 1
_symmetry_space_group_name_Hall 'P 1'
_cell_length_a 7.409
_cell_length_b 7.409
_cell_length_c 4.823
_cell_angle_alpha 90.00
_cell_angle_beta 90.00
_cell_angle_gamma 120.00
loop_
_atom_site_label
_atom_site_type_symbol
_atom_site_fract_x
_atom_site_fract_y
_atom_site_fract_z
Mn1 Mn 0.000 0.224 0.250
Mn2 Mn 0.000 0.776 0.750
Mn3 Mn 0.224 0.000 0.250
Mn4 Mn 0.224 0.224 0.750
Mn5 Mn 0.333 0.667 0.000
Mn6 Mn 0.333 0.667 0.500
Mn7 Mn 0.667 0.333 0.000
Mn8 Mn 0.667 0.333 0.500
Mn9 Mn 0.776 0.000 0.750
Mn10 Mn 0.776 0.776 0.250
Rh1 Rh 0.000 0.404 0.750
Rh2 Rh 0.000 0.596 0.250
Rh3 Rh 0.404 0.000 0.750
Rh4 Rh 0.404 0.404 0.250
Rh5 Rh 0.596 0.000 0.250
Rh6 Rh 0.596 0.596 0.750
# calculated density = 8.45 g cm⁻³
# space group = P6_3/mcm, No. 193
# formation energy from the elements = 13 kJ/mol of atoms
# DOS(E_F) = 18.3 states/eV per cell

# 4
# Mn2Rh GGA-PBE relaxed
data_Mn2Rh
_chemical_formula_sum 'Mn2 Rh1'
_symmetry_space_group_name_H-M 'P 1'
_symmetry_Int_Tables_number 1
_symmetry_space_group_name_Hall 'P 1'
_cell_length_a 2.585
_cell_length_b 2.585
_cell_length_c 6.235
_cell_angle_alpha 90.00
_cell_angle_beta 90.00
_cell_angle_gamma 120.00
loop_
_atom_site_label
_atom_site_type_symbol
_atom_site_fract_x
_atom_site_fract_y
_atom_site_fract_z
Mn1 Mn 0.333 0.667 0.152
Mn2 Mn 0.667 0.333 0.848
Rh1 Rh 0.000 0.000 0.500
# calculated density = 9.80 g cm⁻³
# space group = P-3m1, No. 164
# formation energy from the elements = 8 kJ/mol of atoms
# DOS(E_F) = 4.2 states/eV per cell

# 5
# MnRh2 GGA-PBE relaxed
data_MnRh2
_chemical_formula_sum 'Mn4 Rh8'
_symmetry_space_group_name_H-M 'P 1'
_symmetry_Int_Tables_number 1
_symmetry_space_group_name_Hall 'P 1'
_cell_length_a 5.353
_cell_length_b 3.868
_cell_length_c 8.026
_cell_angle_alpha 90.00
_cell_angle_beta 90.00
_cell_angle_gamma 90.00
loop_
_atom_site_label
_atom_site_type_symbol
_atom_site_fract_x
_atom_site_fract_y
_atom_site_fract_z
Mn1 Mn 0.145 0.250 0.094
Mn2 Mn 0.355 0.750 0.594
Mn3 Mn 0.645 0.250 0.406
Mn4 Mn 0.855 0.750 0.906
Rh1 Rh 0.096 0.250 0.761
Rh2 Rh 0.143 0.250 0.424
Rh3 Rh 0.357 0.750 0.924
Rh4 Rh 0.404 0.750 0.261
Rh5 Rh 0.596 0.250 0.739
Rh6 Rh 0.643 0.250 0.076
Rh7 Rh 0.857 0.750 0.576
Rh8 Rh 0.904 0.750 0.239
# calculated density = 10.42 g cm⁻³
# space group = Pnma, No. 62
# formation energy from the elements = -10 kJ/mol of atoms
# DOS(E_F) = 16.3 states/eV per cell

# 6
# Mn3Rh GGA-PBE relaxed
data_Mn3Rh
_chemical_formula_sum 'Mn3 Rh1'
_symmetry_space_group_name_H-M 'P 1'
_symmetry_Int_Tables_number 1
_symmetry_space_group_name_Hall 'P 1'
_cell_length_a 3.613
_cell_length_b 3.613
_cell_length_c 3.613
_cell_angle_alpha 90.00
_cell_angle_beta 90.00
_cell_angle_gamma 90.00
loop_
_atom_site_label
_atom_site_type_symbol
_atom_site_fract_x
_atom_site_fract_y
_atom_site_fract_z
Mn1 Mn 0.000 0.000 0.500
Mn2 Mn 0.000 0.500 0.000
Mn3 Mn 0.500 0.000 0.000
Rh1 Rh 0.500 0.500 0.500
# calculated density = 9.43 g cm⁻³
# space group = Pm-3m, No. 221
# formation energy from the elements = 7 kJ/mol of atoms
# DOS(E_F) = 5.3 states/eV per cell

# 7
# MnRh2 GGA-PBE relaxed
data_MnRh2
_chemical_formula_sum 'Mn1 Rh2'
_symmetry_space_group_name_H-M 'P 1'
_symmetry_Int_Tables_number 1
_symmetry_space_group_name_Hall 'P 1'
_cell_length_a 4.336
_cell_length_b 4.336
_cell_length_c 2.738
_cell_angle_alpha 90.00
_cell_angle_beta 90.00
_cell_angle_gamma 120.00
loop_
_atom_site_label
_atom_site_type_symbol
_atom_site_fract_x
_atom_site_fract_y
_atom_site_fract_z
Mn1 Mn 0.000 0.000 0.000
Rh1 Rh 0.333 0.667 0.500
Rh2 Rh 0.667 0.333 0.500
# calculated density = 9.71 g cm⁻³
# space group = P6/mmm, No. 191
# formation energy from the elements = 11 kJ/mol of atoms
# DOS(E_F) = 4.3 states/eV per cell

# 8
# MnRh GGA-PBE relaxed
data_MnRh
_chemical_formula_sum 'Mn4 Rh4'
_symmetry_space_group_name_H-M 'P 1'
_symmetry_Int_Tables_number 1
_symmetry_space_group_name_Hall 'P 1'
_cell_length_a 4.869
_cell_length_b 4.869
_cell_length_c 4.869
_cell_angle_alpha 90.00
_cell_angle_beta 90.00
_cell_angle_gamma 90.00
loop_
_atom_site_label
_atom_site_type_symbol
_atom_site_fract_x
_atom_site_fract_y
_atom_site_fract_z
Mn1 Mn 0.095 0.405 0.595
Mn2 Mn 0.405 0.595 0.095
Mn3 Mn 0.595 0.095 0.405
Mn4 Mn 0.905 0.905 0.905
Rh1 Rh 0.097 0.903 0.403
Rh2 Rh 0.403 0.097 0.903
Rh3 Rh 0.597 0.597 0.597
Rh4 Rh 0.903 0.403 0.097
# calculated density = 9.08 g cm⁻³
# space group = P2_13, No. 198
# formation energy from the elements = -1 kJ/mol of atoms
# DOS(E_F) = 11.2 states/eV per cell

# 9
# MnRh2 GGA-PBE relaxed
data_MnRh2
_chemical_formula_sum 'Mn2 Rh4'
_symmetry_space_group_name_H-M 'P 1'
_symmetry_Int_Tables_number 1
_symmetry_space_group_name_Hall 'P 1'
_cell_length_a 5.111
_cell_length_b 5.111
_cell_length_c 5.111
_cell_angle_alpha 60.00
_cell_angle_beta 60.00
_cell_angle_gamma 60.00
loop_
_atom_site_label
_atom_site_type_symbol
_atom_site_fract_x
_atom_site_fract_y
_atom_site_fract_z
Mn1 Mn 0.125 0.125 0.125
Mn2 Mn 0.875 0.875 0.875
Rh1 Rh 0.000 0.500 0.500
Rh2 Rh 0.500 0.000 0.500
Rh3 Rh 0.500 0.500 0.000
Rh4 Rh 0.500 0.500 0.500
# calculated density = 9.17 g cm⁻³
# space group = Fd-3m, No. 227
# formation energy from the elements = 17 kJ/mol of atoms
# DOS(E_F) = 9.0 states/eV per cell

# 10
# Mn3Rh GGA-PBE relaxed
data_Mn3Rh
_chemical_formula_sum 'Mn3 Rh1'
_symmetry_space_group_name_H-M 'P 1'
_symmetry_Int_Tables_number 1
_symmetry_space_group_name_Hall 'P 1'
_cell_length_a 2.606
_cell_length_b 2.606
_cell_length_c 7.169
_cell_angle_alpha 90.00
_cell_angle_beta 90.00
_cell_angle_gamma 90.00
loop_
_atom_site_label
_atom_site_type_symbol
_atom_site_fract_x
_atom_site_fract_y
_atom_site_fract_z
Mn1 Mn 0.000 0.000 0.000
Mn2 Mn 0.500 0.500 0.239
Mn3 Mn 0.500 0.500 0.761
Rh1 Rh 0.000 0.000 0.500
# calculated density = 9.13 g cm⁻³
# space group = P4/mmm, No. 123
# formation energy from the elements = 2 kJ/mol of atoms
# DOS(E_F) = 5.5 states/eV per cell

# 11
# MnRh GGA-PBE relaxed
data_MnRh
_chemical_formula_sum 'Mn2 Rh2'
_symmetry_space_group_name_H-M 'P 1'
_symmetry_Int_Tables_number 1
_symmetry_space_group_name_Hall 'P 1'
_cell_length_a 2.641
_cell_length_b 2.641
_cell_length_c 8.304
_cell_angle_alpha 90.00
_cell_angle_beta 90.00
_cell_angle_gamma 120.00
loop_
_atom_site_label
_atom_site_type_symbol
_atom_site_fract_x
_atom_site_fract_y
_atom_site_fract_z
Mn1 Mn 0.333 0.667 0.388
Mn2 Mn 0.667 0.333 0.612
Rh1 Rh 0.333 0.667 0.858
Rh2 Rh 0.667 0.333 0.142
# calculated density = 10.45 g cm⁻³
# space group = P-3m1, No. 164
# formation energy from the elements = -1 kJ/mol of atoms
# DOS(E_F) = 5.6 states/eV per cell

# 12
# Mn3Rh GGA-PBE relaxed
data_Mn3Rh
_chemical_formula_sum 'Mn6 Rh2'
_symmetry_space_group_name_H-M 'P 1'
_symmetry_Int_Tables_number 1
_symmetry_space_group_name_Hall 'P 1'
_cell_length_a 5.207
_cell_length_b 7.265
_cell_length_c 2.651
_cell_angle_alpha 90.00
_cell_angle_beta 90.00
_cell_angle_gamma 90.00
loop_
_atom_site_label
_atom_site_type_symbol
_atom_site_fract_x
_atom_site_fract_y
_atom_site_fract_z
Mn1 Mn 0.000 0.000 0.000
Mn2 Mn 0.250 0.250 0.500
Mn3 Mn 0.250 0.750 0.500
Mn4 Mn 0.500 0.500 0.000
Mn5 Mn 0.750 0.250 0.500
Mn6 Mn 0.750 0.750 0.500
Rh1 Rh 0.000 0.500 0.000
Rh2 Rh 0.500 0.000 0.000
# calculated density = 8.87 g cm⁻³
# space group = Cmmm, No. 65
# formation energy from the elements = -4 kJ/mol of atoms
# DOS(E_F) = 9.5 states/eV per cell